CsYCr2Te: relaxed, PBE-GGA.

E_tot in eV per cell: -20.6
Uncorrected formation energy in eV/atom: 1.812
M_tot in Bohr magnetons per cell: 7.27

Cell: 5.061 5.061 5.965 Å, 90.00 90.00 90.00°
Positions (direct):
1 Cs 0.000 0.000 0.000
2 Y 0.000 0.000 0.500
3 Cr 0.000 0.500 0.000
4 Cr 0.500 0.000 0.000
5 Te 0.500 0.500 0.500